Entry from Alexandria: a relaxed structure of Ba2NdPb2O6 (PBE).

Results
**Formation energy (no corrections)**: -1.9995 eV/atom

Cell lengths 10.643, 6.577, 7.365 Å; angles 90.00, 118.10, 90.00 degrees
Space group C2/m (No. 12)
Asymmetric unit:
Ba1 0.208 0.000 0.132 x4
Nd1 0.000 0.000 0.500 x2
Pb1 0.072 0.500 0.243 x4
O1 0.074 0.248 0.776 x8
O2 0.222 0.000 0.490 x4

Entry from Alexandria: a relaxed structure of BaNd2PdO5 (PBE).

Results
**Energy relative to the lowest polymorph listed for this composition**: 198 meV/atom
**Formation energy (no corrections)**: -2.3842 eV/atom

Cell lengths 6.792, 6.792, 12.391 Å; angles 90.00, 90.00, 90.00 degrees
Space group I4/mcm (No. 140)
Asymmetric unit:
Ba1 0.000 0.000 0.250 x4
Nd1 0.172 0.328 0.000 x8
Pd1 0.000 0.500 0.250 x4
O1 0.000 0.000 0.000 x4
O2 0.141 0.359 0.380 x16

Entry from Alexandria: a relaxed structure of BaNd2PdO5 (PBE).

Results
**Energy relative to the lowest polymorph listed for this composition**: 0 meV/atom
**Formation energy (no corrections)**: -2.5820 eV/atom

Cell lengths 6.812, 6.812, 5.984 Å; angles 90.00, 90.00, 90.00 degrees
Space group P4/mbm (No. 127)
Asymmetric unit:
Ba1 0.000 0.000 0.000 x2
Nd1 0.174 0.326 0.500 x4
Pd1 0.000 0.500 0.000 x2
O1 0.000 0.000 0.500 x2
O2 0.140 0.640 0.252 x8

Copy entry 2 word for word.
Entry from Alexandria: a relaxed structure of BaNd2PdO5 (PBE).

Results
**Energy relative to the lowest polymorph listed for this composition**: 198 meV/atom
**Formation energy (no corrections)**: -2.3842 eV/atom

Cell lengths 6.792, 6.792, 12.391 Å; angles 90.00, 90.00, 90.00 degrees
Space group I4/mcm (No. 140)
Asymmetric unit:
Ba1 0.000 0.000 0.250 x4
Nd1 0.172 0.328 0.000 x8
Pd1 0.000 0.500 0.250 x4
O1 0.000 0.000 0.000 x4
O2 0.141 0.359 0.380 x16